This record from Alexandria via LeMat-Bulk describes a geometry-optimized In4Hg2Bi3Pb3 structure. The functional is PBE.

The structure belongs to space group C2/m (No. 12); the cell edges are 29.791, 5.042 and 4.788 Å and the angles 90.00°, 98.37° and 90.00°. The inequivalent atoms are In at (0.164, 0.000, 0.164), In at (0.248, 0.000, 0.756), Hg at (0.086, 0.000, 0.586), Bi at (0.000, 0.500, 0.500), Bi at (0.175, 0.500, 0.666), Pb at (0.000, 0.000, 0.000) and Pb at (0.086, 0.500, 0.084).

The value obtained for the uncorrected energy is -68.3 eV for the cell shown. For the density of states at the Fermi level, the calculation gives 0.35 states/eV/atom. The total moment is 0.00 μB per atom. The energy relative to the elements comes out at 0.02 eV/atom.